No. 1
DFT (GGA-PBE) results for a relaxed structure of SrB4Pt6.

Computed properties:
Calculated density: 12.22 g/cm³
DFT formation energy: -0.4385 eV per atom
Energy above the most stable polymorph in this dataset: 0.0 kJ per mole of atoms
Volume: 16.1 A^3/atom
VASP energy: -6.31 eV/atom

Lattice parameters (Å, degrees): 6.198 6.198 5.316 90.00 90.00 120.00
Fractional coordinates of all 11 atoms:
Sr (0.000, 0.000, 0.500)
B (0.333, 0.667, 0.424)
B (0.667, 0.333, 0.576)
B (0.667, 0.333, 0.926)
B (0.333, 0.667, 0.074)
Pt (0.517, 0.483, 0.249)
Pt (0.517, 0.035, 0.249)
Pt (0.965, 0.483, 0.249)
Pt (0.483, 0.517, 0.751)
Pt (0.483, 0.965, 0.751)
Pt (0.035, 0.517, 0.751)

=====

No. 2
DFT (GGA-PBE) results for a relaxed structure of SrB6Pt12.

Computed properties:
Calculated density: 14.54 g/cm³
DFT formation energy: -0.3183 eV per atom
Volume: 15.0 A^3/atom
VASP energy: -6.33 eV/atom

Lattice parameters (Å, degrees): 6.917 6.917 6.917 105.72 105.72 105.72
Fractional coordinates of all 19 atoms:
Sr (0.000, 0.000, 0.000)
B (0.581, 0.216, 0.216)
B (0.216, 0.216, 0.581)
B (0.216, 0.581, 0.216)
B (0.784, 0.784, 0.419)
B (0.419, 0.784, 0.784)
B (0.784, 0.419, 0.784)
Pt (0.875, 0.125, 0.500)
Pt (0.818, 0.532, 0.532)
Pt (0.532, 0.532, 0.818)
Pt (0.468, 0.182, 0.468)
Pt (0.468, 0.468, 0.182)
Pt (0.182, 0.468, 0.468)
Pt (0.125, 0.500, 0.875)
Pt (0.500, 0.875, 0.125)
Pt (0.125, 0.875, 0.500)
Pt (0.875, 0.500, 0.125)
Pt (0.500, 0.125, 0.875)
Pt (0.532, 0.818, 0.532)

=====

No. 3
DFT (GGA-PBE) results for a relaxed structure of SrB2Pt5.

Computed properties:
Calculated density: 14.59 g/cm³
DFT formation energy: -0.4665 eV per atom
Volume: 15.4 A^3/atom
VASP energy: -6.12 eV/atom

Lattice parameters (Å, degrees): 4.076 6.022 6.022 65.83 70.22 70.22
Fractional coordinates of all 8 atoms:
Sr (0.000, 0.000, 0.000)
B (0.764, 0.736, 0.736)
B (0.236, 0.264, 0.264)
Pt (0.000, 0.500, 0.500)
Pt (0.658, 0.551, 0.133)
Pt (0.342, 0.449, 0.867)
Pt (0.342, 0.867, 0.449)
Pt (0.658, 0.133, 0.551)

=====

No. 4
DFT (GGA-PBE) results for a relaxed structure of SrB3Pt6.

Computed properties:
Calculated density: 14.24 g/cm³
DFT formation energy: -0.3621 eV per atom
Volume: 15.0 A^3/atom
VASP energy: -6.16 eV/atom

Lattice parameters (Å, degrees): 5.725 5.723 5.592 99.72 99.94 119.25
Fractional coordinates of all 10 atoms:
Sr (0.922, 0.922, 0.785)
B (0.674, 0.336, 0.005)
B (0.335, 0.674, 0.006)
B (0.113, 0.112, 0.327)
Pt (0.390, 0.391, 0.699)
Pt (0.083, 0.712, 0.247)
Pt (0.713, 0.082, 0.247)
Pt (0.413, 0.911, 0.730)
Pt (0.911, 0.413, 0.729)
Pt (0.447, 0.446, 0.225)

=====

No. 5
DFT (GGA-PBE) results for a relaxed structure of SrBPt3.

Computed properties:
Calculated density: 13.16 g/cm³
DFT formation energy: -0.4865 eV per atom
Energy above the most stable polymorph in this dataset: 2.0 kJ per mole of atoms
Volume: 17.2 A^3/atom
VASP energy: -5.78 eV/atom

Lattice parameters (Å, degrees): 5.778 5.871 5.871 120.00 90.00 90.00
Fractional coordinates of all 10 atoms:
Sr (0.750, 0.667, 0.333)
Sr (0.250, 0.333, 0.667)
B (0.000, 0.000, 0.000)
B (0.500, 0.000, 0.000)
Pt (0.750, 0.668, 0.834)
Pt (0.250, 0.834, 0.668)
Pt (0.250, 0.332, 0.166)
Pt (0.750, 0.166, 0.332)
Pt (0.250, 0.834, 0.166)
Pt (0.750, 0.166, 0.834)

=====

No. 6
DFT (GGA-PBE) results for a relaxed structure of SrB4Pt2.

Computed properties:
Calculated density: 6.85 g/cm³
DFT formation energy: 1.6243 eV per atom
Volume: 18.0 A^3/atom
VASP energy: -4.16 eV/atom

Lattice parameters (Å, degrees): 4.576 4.576 6.847 70.48 70.48 90.00
Fractional coordinates of all 7 atoms:
Sr (0.000, 0.000, 0.000)
B (0.760, 0.760, 0.479)
B (0.240, 0.240, 0.521)
B (0.000, 0.500, 0.000)
B (0.500, 0.000, 0.000)
Pt (0.606, 0.606, 0.789)
Pt (0.394, 0.394, 0.211)

=====

No. 7
DFT (GGA-PBE) results for a relaxed structure of Sr2BTePt.

Computed properties:
Calculated density: 5.90 g/cm³
Energy above the most stable polymorph in this dataset: 8.6 kJ per mole of atoms
Energy relative to the elements, uncorrected: -0.717 eV per atom
Volume: 28.6 A^3/atom
VASP energy: -4.56 eV/atom

Lattice parameters (Å, degrees): 5.920 5.920 4.086 90.00 90.00 90.00
Fractional coordinates of all 5 atoms:
Sr (0.000, 0.500, 0.000)
Sr (0.500, 0.000, 0.000)
B (0.000, 0.000, 0.500)
Te (0.500, 0.500, 0.500)
Pt (0.000, 0.000, 0.000)

=====

No. 8
DFT (GGA-PBE) results for a relaxed structure of Sr2BTePt.

Computed properties:
Calculated density: 6.34 g/cm³
Energy above the most stable polymorph in this dataset: 0.0 kJ per mole of atoms
Energy relative to the elements, uncorrected: -0.805 eV per atom
Volume: 26.6 A^3/atom
VASP energy: -4.65 eV/atom

Lattice parameters (Å, degrees): 5.745 5.745 4.035 90.00 90.00 90.00
Fractional coordinates of all 5 atoms:
Sr (0.000, 0.500, 0.000)
Sr (0.500, 0.000, 0.000)
B (0.000, 0.000, 0.000)
Te (0.500, 0.500, 0.500)
Pt (0.000, 0.000, 0.500)

=====

No. 9
DFT (GGA-PBE) results for a relaxed structure of SrTl2BPt.

Computed properties:
Calculated density: 5.44 g/cm³
DFT formation energy: 1.6384 eV per atom
Volume: 42.8 A^3/atom
VASP energy: -2.19 eV/atom

Lattice parameters (Å, degrees): 6.368 5.283 6.368 90.00 90.00 90.00
Site moments in Bohr magnetons follow the coordinates.
Fractional coordinates of all 5 atoms:
Sr (0.000, 0.000, 0.000)  0.02
Tl (0.000, 0.000, 0.500)  0.03
Tl (0.500, 0.000, 0.000)  0.05
B (0.500, 0.500, 0.500)  0.19
Pt (0.000, 0.500, 0.000)  0.04

=====

No. 10
DFT (GGA-PBE) results for a relaxed structure of Sr2ZnBPt6.

Computed properties:
Calculated density: 12.42 g/cm³
DFT formation energy: -0.6578 eV per atom
Volume: 19.0 A^3/atom
VASP energy: -5.41 eV/atom

Lattice parameters (Å, degrees): 5.779 7.373 7.372 46.15 66.93 90.00
Fractional coordinates of all 10 atoms:
Sr (0.712, 0.288, 0.577)
Sr (0.288, 0.712, 0.423)
Zn (0.000, 0.000, 0.000)
B (0.500, 0.500, 0.000)
Pt (0.264, 0.210, 0.471)
Pt (0.790, 0.736, 0.946)
Pt (0.264, 0.736, 0.946)
Pt (0.736, 0.264, 0.054)
Pt (0.210, 0.264, 0.054)
Pt (0.736, 0.790, 0.529)

=====

No. 11
DFT (GGA-PBE) results for a relaxed structure of TaBPt3.

Computed properties:
Calculated density: 16.96 g/cm³
DFT formation energy: 0.0359 eV per atom
Energy above the most stable polymorph in this dataset: 0.0 kJ per mole of atoms
Volume: 15.2 A^3/atom
VASP energy: -7.29 eV/atom

Lattice parameters (Å, degrees): 4.238 4.238 4.238 90.00 90.00 90.00
Site moments in Bohr magnetons follow the coordinates.
Fractional coordinates of all 5 atoms:
B (0.000, 0.000, 0.000)  -0.01
Pt (0.000, 0.500, 0.000)  0.14
Pt (0.000, 0.000, 0.500)  0.13
Pt (0.500, 0.000, 0.000)  0.08
Ta (0.500, 0.500, 0.500)  0.66

=====

No. 12
DFT (GGA-PBE) results for a relaxed structure of Ta5B2Pt.

Computed properties:
Calculated density: 15.75 g/cm³
DFT formation energy: -0.5188 eV per atom
Volume: 14.8 A^3/atom
VASP energy: -10.35 eV/atom

Lattice parameters (Å, degrees): 6.338 6.338 7.398 115.36 115.36 90.00
Fractional coordinates of all 16 atoms:
Ta (0.528, 0.700, 0.728)
Ta (0.800, 0.972, 0.272)
Ta (0.000, 0.000, 0.000)
Ta (0.500, 0.500, 0.000)
Ta (0.200, 0.028, 0.728)
Ta (0.700, 0.200, 0.728)
Ta (0.028, 0.528, 0.728)
Ta (0.300, 0.800, 0.272)
Ta (0.972, 0.472, 0.272)
Ta (0.472, 0.300, 0.272)
B (0.124, 0.376, 0.000)
B (0.624, 0.124, 0.000)
B (0.376, 0.876, 0.000)
B (0.876, 0.624, 0.000)
Pt (0.750, 0.750, 0.500)
Pt (0.250, 0.250, 0.500)

=====

Q: Which of these has the lowest volume?
A: Ta5B2Pt